# 1
# PBE-GGA ScCoSnOs, optimized geometry
data_ScCoSnOs
_chemical_formula_sum 'Sc4 Co4 Sn4 Os4'
_space_group_name_H-M_alt 'F -4 3 m'
_space_group_IT_number 216
_space_group_name_Hall 'F -4 2 3'
_cell_length_a 6.324
_cell_length_b 6.324
_cell_length_c 6.324
_cell_angle_alpha 90.00
_cell_angle_beta 90.00
_cell_angle_gamma 90.00
loop_
_atom_site_label
_atom_site_type_symbol
_atom_site_fract_x
_atom_site_fract_y
_atom_site_fract_z
_atom_site_occupancy
Sc1 Sc 0.000 0.000 0.000 1
Co1 Co 0.250 0.250 0.750 1
Sn1 Sn 0.000 0.000 0.500 1
Os1 Os 0.250 0.250 0.250 1
# - distance to the lowest polymorph of the same formula (meV/atom) = 0
# - V (Å³ per cell) = 252.89

# 2
# PBE-GGA ScCoSnOs, optimized geometry
data_ScCoSnOs
_chemical_formula_sum 'Sc4 Co4 Sn4 Os4'
_space_group_name_H-M_alt 'F -4 3 m'
_space_group_IT_number 216
_space_group_name_Hall 'F -4 2 3'
_cell_length_a 6.407
_cell_length_b 6.407
_cell_length_c 6.407
_cell_angle_alpha 90.00
_cell_angle_beta 90.00
_cell_angle_gamma 90.00
loop_
_atom_site_label
_atom_site_type_symbol
_atom_site_fract_x
_atom_site_fract_y
_atom_site_fract_z
_atom_site_occupancy
Sc1 Sc 0.000 0.000 0.000 1
Co1 Co 0.000 0.000 0.500 1
Sn1 Sn 0.250 0.250 0.250 1
Os1 Os 0.250 0.250 0.750 1
# - distance to the lowest polymorph of the same formula (meV/atom) = 417
# - V (Å³ per cell) = 263.02

# 3
# PBE-GGA ScZnCoOs, optimized geometry
data_ScZnCoOs
_chemical_formula_sum 'Sc4 Zn4 Co4 Os4'
_space_group_name_H-M_alt 'F -4 3 m'
_space_group_IT_number 216
_space_group_name_Hall 'F -4 2 3'
_cell_length_a 6.146
_cell_length_b 6.146
_cell_length_c 6.146
_cell_angle_alpha 90.00
_cell_angle_beta 90.00
_cell_angle_gamma 90.00
loop_
_atom_site_label
_atom_site_type_symbol
_atom_site_fract_x
_atom_site_fract_y
_atom_site_fract_z
_atom_site_occupancy
Sc1 Sc 0.000 0.000 0.000 1
Zn1 Zn 0.000 0.000 0.500 1
Co1 Co 0.250 0.250 0.750 1
Os1 Os 0.250 0.250 0.250 1
# - distance to the lowest polymorph of the same formula (meV/atom) = 0
# - energy of formation (eV per atom) = 0.014
# - V (Å³ per cell) = 232.14

# 4
# PBE-GGA ScZnCoOs, optimized geometry
data_ScZnCoOs
_chemical_formula_sum 'Sc4 Zn4 Co4 Os4'
_space_group_name_H-M_alt 'F -4 3 m'
_space_group_IT_number 216
_space_group_name_Hall 'F -4 2 3'
_cell_length_a 6.197
_cell_length_b 6.197
_cell_length_c 6.197
_cell_angle_alpha 90.00
_cell_angle_beta 90.00
_cell_angle_gamma 90.00
loop_
_atom_site_label
_atom_site_type_symbol
_atom_site_fract_x
_atom_site_fract_y
_atom_site_fract_z
_atom_site_occupancy
Sc1 Sc 0.000 0.000 0.000 1
Zn1 Zn 0.250 0.250 0.250 1
Co1 Co 0.000 0.000 0.500 1
Os1 Os 0.250 0.250 0.750 1
# - distance to the lowest polymorph of the same formula (meV/atom) = 24
# - energy of formation (eV per atom) = 0.039
# - V (Å³ per cell) = 238.04

# 5
# PBE-GGA ZrScCoOs, optimized geometry
data_ZrScCoOs
_chemical_formula_sum 'Zr4 Sc4 Co4 Os4'
_space_group_name_H-M_alt 'F -4 3 m'
_space_group_IT_number 216
_space_group_name_Hall 'F -4 2 3'
_cell_length_a 6.429
_cell_length_b 6.429
_cell_length_c 6.429
_cell_angle_alpha 90.00
_cell_angle_beta 90.00
_cell_angle_gamma 90.00
loop_
_atom_site_label
_atom_site_type_symbol
_atom_site_fract_x
_atom_site_fract_y
_atom_site_fract_z
_atom_site_occupancy
Zr1 Zr 0.000 0.000 0.000 1
Sc1 Sc 0.000 0.000 0.500 1
Co1 Co 0.250 0.250 0.250 1
Os1 Os 0.250 0.250 0.750 1
# - energy of formation (eV per atom) = -0.448
# - V (Å³ per cell) = 265.76

# 6
# PBE-GGA Sr2CoOsSe6, optimized geometry
data_Sr2CoOsSe6
_chemical_formula_sum 'Sr2 Co1 Os1 Se6'
_space_group_name_H-M_alt 'P -1'
_space_group_IT_number 2
_cell_length_a 5.977
_cell_length_b 6.094
_cell_length_c 7.435
_cell_angle_alpha 66.89
_cell_angle_beta 76.92
_cell_angle_gamma 89.60
loop_
_space_group_symop_operation_xyz
'x,y,z'
'-x,-y,-z'
loop_
_atom_site_label
_atom_site_type_symbol
_atom_site_fract_x
_atom_site_fract_y
_atom_site_fract_z
_atom_site_occupancy
Sr1 Sr 0.247 0.234 0.037 1
Co1 Co 0.500 0.000 0.500 1
Os1 Os 0.000 0.500 0.500 1
Se1 Se 0.133 0.832 0.569 1
Se2 Se 0.209 0.700 0.115 1
Se3 Se 0.351 0.316 0.573 1
# - final energy (eV per atom) = -5.025
# - V (Å³ per cell) = 241.60

# 7
# PBE-GGA Sm2CoSi2Os, optimized geometry
data_Sm2CoSi2Os
_chemical_formula_sum 'Sm2 Co1 Si2 Os1'
_space_group_name_H-M_alt 'P -4 m 2'
_space_group_IT_number 115
_cell_length_a 4.074
_cell_length_b 4.074
_cell_length_c 6.951
_cell_angle_alpha 90.00
_cell_angle_beta 90.00
_cell_angle_gamma 90.00
loop_
_space_group_symop_operation_xyz
'x,y,z'
'y,-x,-z'
'-x,-y,z'
'-y,x,-z'
'-x,y,z'
'-y,-x,-z'
'x,-y,z'
'y,x,-z'
loop_
_atom_site_label
_atom_site_type_symbol
_atom_site_fract_x
_atom_site_fract_y
_atom_site_fract_z
_atom_site_occupancy
Sm1 Sm 0.000 0.500 0.178 1
Co1 Co 0.000 0.000 0.500 1
Si1 Si 0.000 0.500 0.681 1
Os1 Os 0.500 0.500 0.500 1
# - final energy (eV per atom) = -7.128
# - V (Å³ per cell) = 115.40

# 8
# PBE-GGA Sr2CoSi2Os, optimized geometry
data_Sr2CoSi2Os
_chemical_formula_sum 'Sr2 Co1 Si2 Os1'
_space_group_name_H-M_alt 'P -4 m 2'
_space_group_IT_number 115
_cell_length_a 4.110
_cell_length_b 4.110
_cell_length_c 8.119
_cell_angle_alpha 90.00
_cell_angle_beta 90.00
_cell_angle_gamma 90.00
loop_
_space_group_symop_operation_xyz
'x,y,z'
'y,-x,-z'
'-x,-y,z'
'-y,x,-z'
'-x,y,z'
'-y,-x,-z'
'x,-y,z'
'y,x,-z'
loop_
_atom_site_label
_atom_site_type_symbol
_atom_site_fract_x
_atom_site_fract_y
_atom_site_fract_z
_atom_site_occupancy
Sr1 Sr 0.000 0.500 0.187 1
Co1 Co 0.000 0.000 0.500 1
Si1 Si 0.000 0.500 0.642 1
Os1 Os 0.500 0.500 0.500 1
# - final energy (eV per atom) = -5.865
# - V (Å³ per cell) = 137.17

# 9
# PBE-GGA TbCoSi2Os, optimized geometry
data_TbCoSi2Os
_chemical_formula_sum 'Tb2 Co2 Si4 Os2'
_space_group_name_H-M_alt 'I -4 m 2'
_space_group_IT_number 119
_space_group_name_Hall 'I -4 -2'
_cell_length_a 4.027
_cell_length_b 4.027
_cell_length_c 9.778
_cell_angle_alpha 90.00
_cell_angle_beta 90.00
_cell_angle_gamma 90.00
loop_
_atom_site_label
_atom_site_type_symbol
_atom_site_fract_x
_atom_site_fract_y
_atom_site_fract_z
_atom_site_occupancy
Tb1 Tb 0.000 0.000 0.000 1
Co1 Co 0.000 0.500 0.750 1
Si1 Si 0.000 0.000 0.373 1
Os1 Os 0.000 0.500 0.250 1
# - final energy (eV per atom) = -7.543
# - V (Å³ per cell) = 158.61

# 10
# PBE-GGA YCoSiOs, optimized geometry
data_YCoSiOs
_chemical_formula_sum 'Y4 Co4 Si4 Os4'
_space_group_name_H-M_alt 'F -4 3 m'
_space_group_IT_number 216
_space_group_name_Hall 'F -4 2 3'
_cell_length_a 6.422
_cell_length_b 6.422
_cell_length_c 6.422
_cell_angle_alpha 90.00
_cell_angle_beta 90.00
_cell_angle_gamma 90.00
loop_
_atom_site_label
_atom_site_type_symbol
_atom_site_fract_x
_atom_site_fract_y
_atom_site_fract_z
_atom_site_occupancy
Y1 Y 0.000 0.000 0.000 1
Co1 Co 0.000 0.000 0.500 1
Si1 Si 0.250 0.250 0.250 1
Os1 Os 0.250 0.250 0.750 1
# - distance to the lowest polymorph of the same formula (meV/atom) = 451
# - V (Å³ per cell) = 264.87

# 11
# PBE-GGA YCoSiOs, optimized geometry
data_YCoSiOs
_chemical_formula_sum 'Y4 Co4 Si4 Os4'
_space_group_name_H-M_alt 'F -4 3 m'
_space_group_IT_number 216
_space_group_name_Hall 'F -4 2 3'
_cell_length_a 6.254
_cell_length_b 6.254
_cell_length_c 6.254
_cell_angle_alpha 90.00
_cell_angle_beta 90.00
_cell_angle_gamma 90.00
loop_
_atom_site_label
_atom_site_type_symbol
_atom_site_fract_x
_atom_site_fract_y
_atom_site_fract_z
_atom_site_occupancy
Y1 Y 0.000 0.000 0.000 1
Co1 Co 0.250 0.250 0.750 1
Si1 Si 0.000 0.000 0.500 1
Os1 Os 0.250 0.250 0.250 1
# - distance to the lowest polymorph of the same formula (meV/atom) = 0
# - V (Å³ per cell) = 244.55

# 12
# PBE-GGA YCoSi2Os, optimized geometry
data_YCoSi2Os
_chemical_formula_sum 'Y2 Co2 Si4 Os2'
_space_group_name_H-M_alt 'I -4 m 2'
_space_group_IT_number 119
_space_group_name_Hall 'I -4 -2'
_cell_length_a 4.025
_cell_length_b 4.025
_cell_length_c 9.777
_cell_angle_alpha 90.00
_cell_angle_beta 90.00
_cell_angle_gamma 90.00
loop_
_atom_site_label
_atom_site_type_symbol
_atom_site_fract_x
_atom_site_fract_y
_atom_site_fract_z
_atom_site_occupancy
Y1 Y 0.000 0.000 0.000 1
Co1 Co 0.000 0.500 0.750 1
Si1 Si 0.000 0.000 0.372 1
Os1 Os 0.000 0.500 0.250 1
# - final energy (eV per atom) = -7.911
# - V (Å³ per cell) = 158.42

# 13
# PBE-GGA SmCoOs, optimized geometry
data_SmCoOs
_chemical_formula_sum 'Sm4 Co4 Os4'
_space_group_name_H-M_alt 'F -4 3 m'
_space_group_IT_number 216
_space_group_name_Hall 'F -4 2 3'
_cell_length_a 6.315
_cell_length_b 6.315
_cell_length_c 6.315
_cell_angle_alpha 90.00
_cell_angle_beta 90.00
_cell_angle_gamma 90.00
loop_
_atom_site_label
_atom_site_type_symbol
_atom_site_fract_x
_atom_site_fract_y
_atom_site_fract_z
_atom_site_occupancy
Sm1 Sm 0.000 0.000 0.000 1
Co1 Co 0.250 0.250 0.750 1
Os1 Os 0.250 0.250 0.250 1
# - distance to the lowest polymorph of the same formula (meV/atom) = 719
# - energy of formation (eV per atom) = 1.373
# - V (Å³ per cell) = 251.86

# 14
# PBE-GGA SmCoOs, optimized geometry
data_SmCoOs
_chemical_formula_sum 'Sm4 Co4 Os4'
_space_group_name_H-M_alt 'F -4 3 m'
_space_group_IT_number 216
_space_group_name_Hall 'F -4 2 3'
_cell_length_a 6.270
_cell_length_b 6.270
_cell_length_c 6.270
_cell_angle_alpha 90.00
_cell_angle_beta 90.00
_cell_angle_gamma 90.00
loop_
_atom_site_label
_atom_site_type_symbol
_atom_site_fract_x
_atom_site_fract_y
_atom_site_fract_z
_atom_site_occupancy
Sm1 Sm 0.000 0.000 0.000 1
Co1 Co 0.000 0.000 0.500 1
Os1 Os 0.250 0.250 0.750 1
# - distance to the lowest polymorph of the same formula (meV/atom) = 0
# - energy of formation (eV per atom) = 0.654
# - V (Å³ per cell) = 246.45

# 15
# PBE-GGA CoSnOs, optimized geometry
data_CoSnOs
_chemical_formula_sum 'Co4 Sn4 Os4'
_space_group_name_H-M_alt 'F -4 3 m'
_space_group_IT_number 216
_space_group_name_Hall 'F -4 2 3'
_cell_length_a 5.865
_cell_length_b 5.865
_cell_length_c 5.865
_cell_angle_alpha 90.00
_cell_angle_beta 90.00
_cell_angle_gamma 90.00
loop_
_atom_site_label
_atom_site_type_symbol
_atom_site_fract_x
_atom_site_fract_y
_atom_site_fract_z
_atom_site_occupancy
Co1 Co 0.000 0.000 0.000 1
Sn1 Sn 0.250 0.250 0.250 1
Os1 Os 0.250 0.250 0.750 1
# - distance to the lowest polymorph of the same formula (meV/atom) = 0
# - V (Å³ per cell) = 201.72